Below is a relaxed structure of CrTe2O5, with properties calculated at the PBE+U level.

Total energy = -6.0053 eV/atom
Magnetic moment = 4.0 μB/f.u.

Unit cell a=7.6076 b=10.7317 c=6.3855 alpha=90.00 beta=90.00 gamma=90.00
Last column: nearest neighbours and their distance in Å.
Space group Pbcn (No. 60)
Symmetry-distinct sites (fractional):
Cr  0.0000  0.0571  0.2500 x4  4 O 2.10-2.11
Te  0.1405  0.3434  0.0290 x8  3 O 1.87-2.02
O  0.0000  0.4343  0.2500 x4  2 Te 2.02
O  0.1466  0.0750  0.5807 x8  1 Te 1.87
O  0.1872  0.1982  0.1897 x8  1 Te 1.90, 1 Cr 2.11